[1]
Sm2SiS6 | PBE | relaxed

Summary:
The density of states at the Fermi level comes out at 13.075 states/eV/cell. The energy relative to the elements, uncorrected is -0.96 eV per atom. The volume is 24.62 A^3/atom. Its total magnetization is 0.000 μB/atom.

Structure (CIF):
```
data_Sm2SiS6
_chemical_formula_sum 'Sm4 Si2 S12'
_cell_length_a 6.075
_cell_length_b 6.075
_cell_length_c 12.008
_cell_angle_alpha 90.00
_cell_angle_beta 90.00
_cell_angle_gamma 90.00
_space_group_name_H-M_alt 'P 42/m n m'
_space_group_IT_number 136
_space_group_name_Hall '-P 4n 2n'
loop_
_atom_site_label
_atom_site_fract_x
_atom_site_fract_y
_atom_site_fract_z
_atom_site_occupancy
Sm1 0.000 0.000 0.168 1
Si1 0.000 0.000 0.500 1
S1 0.181 0.181 0.361 1
S2 0.232 0.232 0.000 1
```



[2]
Sm5Si2S2 | PBE | relaxed

Summary:
The density of states at the Fermi level comes out at 21.539 states/eV/cell. The energy relative to the elements, uncorrected is -1.21 eV per atom. The volume is 23.55 A^3/atom. Its total magnetization is 0.000 μB/atom.

Structure (CIF):
```
data_Sm5Si2S2
_chemical_formula_sum 'Sm20 Si8 S8'
_cell_length_a 14.541
_cell_length_b 7.590
_cell_length_c 7.683
_cell_angle_alpha 90.00
_cell_angle_beta 90.00
_cell_angle_gamma 90.00
_space_group_name_H-M_alt 'C m c e'
_space_group_IT_number 64
_space_group_name_Hall '-C 2ac 2'
loop_
_atom_site_label
_atom_site_fract_x
_atom_site_fract_y
_atom_site_fract_z
_atom_site_occupancy
Sm1 0.000 0.000 0.000 1
Sm2 0.140 0.173 0.335 1
Si1 0.000 0.119 0.619 1
S1 0.197 0.000 0.000 1
```



[3]
Sm3SiS2 | PBE | relaxed

Summary:
The density of states at the Fermi level comes out at 3.983 states/eV/cell. The energy relative to the elements, uncorrected is -1.65 eV per atom. The volume is 24.25 A^3/atom. Its total magnetization is 0.000 μB/atom.

Structure (CIF):
```
data_Sm3SiS2
_chemical_formula_sum 'Sm6 Si2 S4'
_cell_length_a 12.953
_cell_length_b 5.783
_cell_length_c 4.095
_cell_angle_alpha 90.00
_cell_angle_beta 108.42
_cell_angle_gamma 90.00
_space_group_name_H-M_alt 'C 1 2/m 1'
_space_group_IT_number 12
_space_group_name_Hall '-C 2y'
loop_
_atom_site_label
_atom_site_fract_x
_atom_site_fract_y
_atom_site_fract_z
_atom_site_occupancy
Sm1 0.000 0.000 0.000 1
Sm2 0.166 0.500 0.664 1
Si1 0.000 0.500 0.000 1
S1 0.166 0.000 0.669 1
```



[4]
Sm8SiTe4S3 | PBE | relaxed

Summary:
The density of states at the Fermi level comes out at 16.153 states/eV/cell. The energy relative to the elements, uncorrected is -1.59 eV per atom. The volume is 27.32 A^3/atom. Its total magnetization is 0.000 μB/atom.

Structure (CIF):
```
data_Sm8SiTe4S3
_chemical_formula_sum 'Sm24 Si3 Te12 S9'
_cell_length_a 8.3810
_cell_length_b 8.3810
_cell_length_c 21.5577
_cell_angle_alpha 90.00
_cell_angle_beta 90.00
_cell_angle_gamma 120.00
_space_group_name_H-M_alt 'R -3 m'
_space_group_IT_number 166
_space_group_name_Hall '-R 3 2"'
loop_
_atom_site_label
_atom_site_fract_x
_atom_site_fract_y
_atom_site_fract_z
_atom_site_occupancy
Sm1 0.0000 0.0000 0.2359 1
Sm2 0.0007 0.5003 0.2373 1
Si1 0.0000 0.0000 0.5000 1
Te1 0.0000 0.0000 0.0000 1
Te2 0.0000 0.5000 0.0000 1
S1 0.0000 0.5000 0.5000 1
```



[5]
Sm8SiTe3S3 | PBE | relaxed

Summary:
The density of states at the Fermi level comes out at 19.627 states/eV/cell. The energy relative to the elements, uncorrected is -1.48 eV per atom. The volume is 28.28 A^3/atom. Its total magnetization is 0.000 μB/atom.

Structure (CIF):
```
data_Sm8SiTe3S3
_chemical_formula_sum 'Sm24 Si3 Te9 S9'
_cell_length_a 8.2978
_cell_length_b 8.2978
_cell_length_c 21.3400
_cell_angle_alpha 90.00
_cell_angle_beta 90.00
_cell_angle_gamma 120.00
_space_group_name_H-M_alt 'R -3 m'
_space_group_IT_number 166
_space_group_name_Hall '-R 3 2"'
loop_
_atom_site_label
_atom_site_fract_x
_atom_site_fract_y
_atom_site_fract_z
_atom_site_occupancy
Sm1 0.0000 0.0000 0.2351 1
Sm2 0.0043 0.5021 0.7611 1
Si1 0.0000 0.0000 0.5000 1
Te1 0.0000 0.5000 0.0000 1
S1 0.0000 0.5000 0.5000 1
```



[6]
Sm6Si2Te3S | PBE | relaxed

Summary:
The density of states at the Fermi level comes out at 8.997 states/eV/cell. The energy relative to the elements, uncorrected is -1.34 eV per atom. The volume is 28.33 A^3/atom. Its total magnetization is 0.000 μB/atom.

Structure (CIF):
```
data_Sm6Si2Te3S
_chemical_formula_sum 'Sm12 Si4 Te6 S2'
_cell_length_a 18.969
_cell_length_b 4.261
_cell_length_c 8.729
_cell_angle_alpha 90.00
_cell_angle_beta 105.44
_cell_angle_gamma 90.00
_space_group_name_H-M_alt 'C 1 2/m 1'
_space_group_IT_number 12
_space_group_name_Hall '-C 2y'
loop_
_atom_site_label
_atom_site_fract_x
_atom_site_fract_y
_atom_site_fract_z
_atom_site_occupancy
Sm1 0.009 0.000 0.233 1
Sm2 0.161 0.500 0.102 1
Sm3 0.173 0.500 0.566 1
Si1 0.166 0.000 0.330 1
Te1 0.000 0.500 0.500 1
Te2 0.165 0.000 0.834 1
S1 0.000 0.500 0.000 1
```



[7]
Sm6Si2TeS3 | PBE | relaxed

Summary:
The density of states at the Fermi level comes out at 8.204 states/eV/cell. The energy relative to the elements, uncorrected is -1.50 eV per atom. The volume is 25.66 A^3/atom. Its total magnetization is 0.000 μB/atom.

Structure (CIF):
```
data_Sm6Si2TeS3
_chemical_formula_sum 'Sm12 Si4 Te2 S6'
_cell_length_a 18.091
_cell_length_b 4.159
_cell_length_c 8.381
_cell_angle_alpha 90.00
_cell_angle_beta 102.39
_cell_angle_gamma 90.00
_space_group_name_H-M_alt 'C 1 2/m 1'
_space_group_IT_number 12
_space_group_name_Hall '-C 2y'
loop_
_atom_site_label
_atom_site_fract_x
_atom_site_fract_y
_atom_site_fract_z
_atom_site_occupancy
Sm1 0.004 0.000 0.276 1
Sm2 0.167 0.500 0.584 1
Sm3 0.175 0.500 0.097 1
Si1 0.167 0.000 0.335 1
Te1 0.000 0.500 0.000 1
S1 0.000 0.500 0.500 1
S2 0.164 0.000 0.836 1
```



[8]
SmTlSiS4 | PBE | relaxed

Summary:
The density of states at the Fermi level comes out at 0.000 states/eV/cell. The energy relative to the elements, uncorrected is -1.18 eV per atom. The volume is 25.79 A^3/atom. Its total magnetization is 0.000 μB/atom.

Structure (CIF):
```
data_SmTlSiS4
_chemical_formula_sum 'Sm2 Tl2 Si2 S8'
_cell_length_a 6.520
_cell_length_b 6.579
_cell_length_c 8.805
_cell_angle_alpha 90.00
_cell_angle_beta 107.03
_cell_angle_gamma 90.00
_space_group_name_H-M_alt 'P 1 21/m 1'
_space_group_IT_number 11
_space_group_name_Hall '-P 2yb'
loop_
_atom_site_label
_atom_site_fract_x
_atom_site_fract_y
_atom_site_fract_z
_atom_site_occupancy
Sm1 0.232 0.250 0.053 1
Tl1 0.264 0.250 0.570 1
Si1 0.221 0.750 0.824 1
S1 0.005 0.002 0.787 1
S2 0.409 0.750 0.068 1
S3 0.415 0.750 0.670 1
```